[1]
SrGdDy: optimized geometry, PBE.

## Properties
ΔH_f (0 K) ... 0.122 eV per atom
Distance to the lowest polymorph of the same formula ... 0 meV/atom
Crystal system ... tetragonal
D(E_F) ... 1.46 states/eV per atom
M_tot ... 7.6 μB/f.u.

Cell lengths 3.754, 3.754, 16.011 Å; angles 90.00, 90.00, 90.00 degrees
Space group I4mm (No. 107)
Symmetry-distinct sites (fractional):
Sr (0.000, 0.000, 0.000) [2 per cell]
Gd (0.000, 0.000, 0.684) [2 per cell]
Dy (0.000, 0.000, 0.321) [2 per cell]



[2]
SrGd2Dy: optimized geometry, PBE.

## Properties
ΔH_f (0 K) ... 0.103 eV per atom
Distance to the lowest polymorph of the same formula ... 0 meV/atom
Crystal system ... tetragonal
D(E_F) ... 1.86 states/eV per atom
M_tot ... 15.3 μB/f.u.

Cell lengths 3.687, 3.687, 10.645 Å; angles 90.00, 90.00, 90.00 degrees
Space group P4/mmm (No. 123)
Symmetry-distinct sites (fractional):
Sr (0.000, 0.000, 0.000) [1 per cell]
Gd (0.500, 0.500, 0.279) [2 per cell]
Dy (0.000, 0.000, 0.500) [1 per cell]



[3]
SrGd2Dy: optimized geometry, PBE.

## Properties
ΔH_f (0 K) ... 0.194 eV per atom
Distance to the lowest polymorph of the same formula ... 91 meV/atom
Crystal system ... tetragonal
D(E_F) ... 2.19 states/eV per atom
M_tot ... 15.8 μB/f.u.

Cell lengths 5.232, 5.232, 5.234 Å; angles 90.00, 90.00, 90.00 degrees
Space group P4/mmm (No. 123)
Symmetry-distinct sites (fractional):
Sr (0.000, 0.000, 0.000) [1 per cell]
Gd (0.000, 0.500, 0.500) [2 per cell]
Dy (0.500, 0.500, 0.000) [1 per cell]